No. 1
Entry from Alexandria via LeMat-Bulk: a relaxed structure of Zr2HgH (GGA-PBE).

```
16
Lattice="6.687 0.000 0.000 0.000 6.687 0.000 0.000 0.000 6.687" Properties=species:S:1:pos:R:3 pbc="T T T"
Zr 1.672 1.672 1.672
Zr 1.672 1.672 5.015
Zr 1.672 5.015 1.672
Zr 1.672 5.015 5.015
Zr 5.015 1.672 1.672
Zr 5.015 1.672 5.015
Zr 5.015 5.015 1.672
Zr 5.015 5.015 5.015
Hg 0.000 0.000 0.000
Hg 0.000 3.343 3.343
Hg 3.343 0.000 3.343
Hg 3.343 3.343 0.000
H 0.000 0.000 3.343
H 0.000 3.343 0.000
H 3.343 0.000 0.000
H 3.343 3.343 3.343
```

density = 8531 kg/m3
E = -4.93 eV/atom
D(E_F) = 3.34 states/eV/f.u.
spin magnetization = 0.000 μB/atom
symmetry = Fm-3m (225)

***

No. 2
Entry from Alexandria via LeMat-Bulk: a relaxed structure of Zr2HgH (GGA-PBE).

```
12
Lattice="3.272 0.000 0.000 -1.636 2.833 0.000 0.000 0.000 22.579" Properties=species:S:1:pos:R:3 pbc="T T T"
Zr 0.000 0.000 0.000
Zr 0.000 0.000 4.915
Zr 0.000 1.889 15.053
Zr 0.000 1.889 19.968
Zr 1.636 0.944 7.526
Zr 1.636 0.944 12.441
Hg 0.000 0.000 17.512
Hg 0.000 1.889 9.986
Hg 1.636 0.944 2.459
H 0.000 0.000 13.768
H 0.000 1.889 6.242
H 1.636 0.944 21.294
```

density = 9141 kg/m3
E = -5.37 eV/atom
D(E_F) = 3.40 states/eV/f.u.
spin magnetization = 0.000 μB/atom
symmetry = R3m (160)

***

No. 3
Entry from Alexandria via LeMat-Bulk: a relaxed structure of Zr2HgH (GGA-PBE).

```
16
Lattice="5.636 0.000 0.000 0.000 10.584 0.000 -2.751 0.000 4.592" Properties=species:S:1:pos:R:3 pbc="T T T"
Zr 0.675 1.310 0.419
Zr -0.701 9.274 2.715
Zr -0.608 3.982 4.174
Zr 0.768 6.602 1.878
Zr 2.117 3.982 2.715
Zr 3.493 6.602 0.419
Zr 3.586 1.310 1.878
Zr 2.210 9.274 4.174
Hg -0.688 4.010 1.148
Hg -2.063 6.574 3.444
Hg 0.755 1.282 3.444
Hg 2.130 9.301 1.148
H -2.063 2.673 3.444
H -0.688 7.911 1.148
H 2.130 2.619 1.148
H 0.755 7.964 3.444
```

density = 9312 kg/m3
E = -5.45 eV/atom
D(E_F) = 3.00 states/eV/f.u.
spin magnetization = 0.000 μB/atom
symmetry = C2/c (15)

***

No. 4
Entry from Alexandria via LeMat-Bulk: a relaxed structure of Zr4HgH2 (GGA-PBE).

```
14
Lattice="5.624 0.000 0.000 0.574 5.596 0.000 2.735 2.471 7.731" Properties=species:S:1:pos:R:3 pbc="T T T"
Zr 0.000 0.000 0.000
Zr 2.064 3.520 4.973
Zr 1.257 2.794 1.964
Zr 2.804 6.248 4.412
Zr 4.969 4.489 6.936
Zr 3.359 5.113 1.223
Zr 4.093 2.330 2.523
Zr 5.738 7.263 5.713
Hg 5.488 5.141 3.472
Hg 7.723 5.422 7.334
H 1.456 4.759 1.549
H 2.409 1.122 2.424
H 3.606 2.201 4.510
H 5.716 3.523 5.394
```

density = 7746 kg/m3
E = -6.02 eV/atom
D(E_F) = 4.15 states/eV/f.u.
spin magnetization = 0.000 μB/atom
symmetry = P1 (1)

***

No. 5
Entry from Alexandria via LeMat-Bulk: a relaxed structure of ZrHgH2 (GGA-PBE).

```
16
Lattice="5.820 0.000 0.000 0.000 5.820 0.000 0.000 0.000 5.820" Properties=species:S:1:pos:R:3 pbc="T T T"
Zr 0.000 0.000 0.000
Zr 0.000 2.910 2.910
Zr 2.910 0.000 2.910
Zr 2.910 2.910 0.000
Hg 0.000 0.000 2.910
Hg 0.000 2.910 0.000
Hg 2.910 0.000 0.000
Hg 2.910 2.910 2.910
H 1.455 1.455 1.455
H 1.455 1.455 4.365
H 1.455 4.365 1.455
H 1.455 4.365 4.365
H 4.365 1.455 1.455
H 4.365 1.455 4.365
H 4.365 4.365 1.455
H 4.365 4.365 4.365
```

density = 9901 kg/m3
E = -3.65 eV/atom
D(E_F) = 1.16 states/eV/f.u.
spin magnetization = 0.000 μB/atom
symmetry = Fm-3m (225)

***

No. 6
Entry from Alexandria via LeMat-Bulk: a relaxed structure of HoH3 (GGA-PBE).

```
24
Lattice="6.255 0.000 0.000 -3.127 5.417 0.000 0.000 0.000 6.506" Properties=species:S:1:pos:R:3 pbc="T T T"
Ho -1.054 1.825 1.627
Ho -2.074 3.592 4.880
Ho 2.107 0.000 1.627
Ho 1.054 1.825 4.880
Ho 4.148 0.000 4.880
Ho 2.074 3.592 1.627
H 0.000 0.000 1.627
H 0.000 0.000 4.880
H -0.915 1.900 3.852
H -1.939 3.674 0.599
H 0.915 1.900 0.599
H -1.024 5.259 3.852
H 0.000 3.611 2.059
H 0.000 3.611 5.313
H 2.103 0.158 5.907
H 1.188 1.743 2.654
H 1.939 3.674 3.852
H 1.024 5.259 0.599
H 3.127 1.806 1.194
H 3.127 1.806 4.447
H 4.151 0.158 2.654
H 2.212 3.516 5.907
H 5.066 1.743 5.907
H 4.043 3.516 2.654
```

density = 7591 kg/m3
E = -4.29 eV/atom
spin magnetization = 0.000 μB/atom
symmetry = P-3c1 (165)

***

No. 7
Entry from Alexandria via LeMat-Bulk: a relaxed structure of Ho8H (GGA-PBE).

```
9
Lattice="7.191 0.000 0.000 -3.595 6.228 0.000 0.000 0.000 5.599" Properties=species:S:1:pos:R:3 pbc="T T T"
Ho 0.000 2.059 1.392
Ho -1.812 5.198 1.392
Ho 1.783 1.030 4.206
Ho 0.000 4.152 4.152
Ho 3.595 2.076 1.447
Ho 1.812 5.198 1.392
Ho 5.407 1.030 4.206
Ho 3.595 4.168 4.206
H 0.000 0.000 2.799
```

density = 8745 kg/m3
E = -4.52 eV/atom
D(E_F) = 15.65 states/eV/f.u.
spin magnetization = 0.000 μB/atom
symmetry = P-3m1 (164)

***

No. 8
Entry from Alexandria via LeMat-Bulk: a relaxed structure of HoH3 (GGA-PBE).

```
8
Lattice="3.624 0.000 0.000 -1.812 3.139 0.000 0.000 0.000 6.504" Properties=species:S:1:pos:R:3 pbc="T T T"
Ho 0.000 2.093 1.626
Ho 1.812 1.046 4.878
H 0.000 0.000 1.626
H 0.000 0.000 4.878
H 0.000 2.093 3.862
H 0.000 2.093 5.893
H 1.812 1.046 0.610
H 1.812 1.046 2.642
```

density = 7537 kg/m3
E = -4.28 eV/atom
D(E_F) = 0.17 states/eV/f.u.
spin magnetization = 0.000 μB/atom
symmetry = P6_3/mmc (194)

***

No. 9
Entry from Alexandria via LeMat-Bulk: a relaxed structure of HoH3 (GGA-PBE).

```
4
Lattice="3.270 0.000 0.000 0.000 3.270 0.000 0.000 0.000 3.270" Properties=species:S:1:pos:R:3 pbc="T T T"
Ho 0.000 0.000 0.000
H 0.000 1.635 1.635
H 1.635 0.000 1.635
H 1.635 1.635 0.000
```

density = 7978 kg/m3
E = -4.08 eV/atom
D(E_F) = 0.00 states/eV/f.u.
spin magnetization = 0.000 μB/atom
symmetry = Pm-3m (221)

***

No. 10
Entry from Alexandria via LeMat-Bulk: a relaxed structure of Ho3H (GGA-PBE).

```
8
Lattice="3.331 0.000 0.000 0.000 9.755 0.000 0.000 0.000 5.797" Properties=species:S:1:pos:R:3 pbc="T T T"
Ho 0.000 0.000 0.000
Ho 0.000 1.747 2.772
Ho 0.000 8.009 2.772
Ho 1.665 3.131 5.670
Ho 1.665 4.878 2.898
Ho 1.665 6.624 5.670
H 0.000 4.878 4.730
H 1.665 0.000 1.832
```

density = 8742 kg/m3
E = -4.27 eV/atom
D(E_F) = 5.52 states/eV/f.u.
spin magnetization = 0.000 μB/atom
symmetry = Imm2 (44)

***

No. 11
Entry from Alexandria via LeMat-Bulk: a relaxed structure of Ho2H5 (GGA-PBE).

```
14
Lattice="-2.661 5.280 2.401 2.661 -5.280 2.401 2.661 5.280 -2.401" Properties=species:S:1:pos:R:3 pbc="T T T"
Ho 1.249 1.260 0.000
Ho 1.249 -1.260 2.401
Ho 1.412 6.540 0.000
Ho 1.412 4.020 2.401
H 2.661 -2.576 1.200
H 4.438 0.890 0.000
H 2.661 0.000 1.200
H 1.776 4.390 0.000
H 2.661 2.576 1.200
H 0.000 2.704 1.200
H 0.885 0.890 2.401
H 0.000 5.280 1.200
H -1.776 4.390 2.401
H 0.000 7.856 1.200
```

density = 8243 kg/m3
E = -4.33 eV/atom
D(E_F) = 0.81 states/eV/f.u.
spin magnetization = 0.000 μB/atom
symmetry = Ibam (72)

***

No. 12
Entry from Alexandria via LeMat-Bulk: a relaxed structure of HoH (GGA-PBE).

```
4
Lattice="3.307 0.000 0.000 0.000 3.323 0.000 0.000 0.000 5.643" Properties=species:S:1:pos:R:3 pbc="T T T"
Ho 0.827 0.831 1.335
Ho 2.480 2.492 4.308
H 0.827 0.831 4.740
H 2.480 2.492 0.902
```

density = 8888 kg/m3
E = -4.33 eV/atom
D(E_F) = 1.15 states/eV/f.u.
spin magnetization = 0.000 μB/atom
symmetry = Pmmn (59)

***

No. 13
Entry from Alexandria via LeMat-Bulk: a relaxed structure of HoH2I4 (GGA-PBE).

```
7
Lattice="4.136 0.000 0.000 -0.008 7.713 0.000 -2.062 -1.528 8.071" Properties=species:S:1:pos:R:3 pbc="T T T"
Ho 0.000 0.000 0.000
H -0.001 4.246 5.748
H 2.067 1.939 2.323
I -0.001 1.967 2.354
I 0.006 0.142 6.676
I 2.060 6.043 1.395
I 2.066 4.218 5.717
```

density = 4350 kg/m3
E = -3.03 eV/atom
D(E_F) = 1.27 states/eV/f.u.
spin magnetization = 0.070 μB/atom
symmetry = P-1 (2)

***

No. 14
Entry from Alexandria via LeMat-Bulk: a relaxed structure of HoHI3 (GGA-PBE).

```
20
Lattice="8.265 0.000 0.000 0.000 8.000 0.000 -4.288 0.000 13.517" Properties=species:S:1:pos:R:3 pbc="T T T"
Ho 7.897 1.999 1.152
Ho -1.776 1.999 5.607
Ho 5.753 6.001 7.911
Ho -3.921 6.001 12.365
H -2.841 1.912 10.119
H -0.697 6.088 3.360
H 4.673 1.912 10.157
H 6.818 6.088 3.398
I -0.497 0.354 7.754
I 1.913 3.644 0.132
I -0.231 4.356 6.891
I 1.647 7.646 0.995
I 0.800 2.003 3.971
I -1.344 5.997 10.730
I 5.321 2.003 2.788
I 3.177 5.997 9.546
I 2.330 0.354 12.523
I 4.208 3.644 6.627
I 2.064 4.356 13.386
I 4.474 7.646 5.764
```

density = 4062 kg/m3
E = -3.59 eV/atom
D(E_F) = 0.00 states/eV/f.u.
spin magnetization = 0.000 μB/atom
symmetry = P2/c (13)

***

No. 15
Entry from Alexandria via LeMat-Bulk: a relaxed structure of Ho4HI5 (GGA-PBE).

```
10
Lattice="9.369 -1.962 0.000 9.369 1.962 0.000 -1.930 0.000 8.460" Properties=species:S:1:pos:R:3 pbc="T T T"
Ho -0.558 0.000 2.551
Ho 6.130 0.000 3.685
Ho 10.679 0.000 4.775
Ho 17.367 0.000 5.909
H 8.404 0.000 4.230
I 1.478 0.000 7.130
I 2.619 0.000 2.769
I 9.369 0.000 0.000
I 14.190 0.000 5.692
I 15.330 0.000 1.330
```

density = 6916 kg/m3
E = -3.85 eV/atom
D(E_F) = 4.74 states/eV/f.u.
spin magnetization = 0.000 μB/atom
symmetry = C2/m (12)

***

No. 16
Entry from Alexandria via LeMat-Bulk: a relaxed structure of HoH2I3 (GGA-PBE).

```
12
Lattice="5.525 -6.164 0.000 5.525 6.164 0.000 -0.700 0.000 7.490" Properties=species:S:1:pos:R:3 pbc="T T T"
Ho 0.000 0.000 0.000
Ho -0.350 0.000 3.745
H 4.527 0.044 7.265
H 4.877 -0.044 3.520
H 5.473 0.044 3.971
H 5.823 -0.044 0.225
I 1.526 1.196 5.809
I 5.000 3.785 5.618
I 1.876 -1.196 2.064
I 8.473 1.196 5.426
I 5.350 -3.785 1.873
I 8.823 -1.196 1.681
```

density = 3565 kg/m3
E = -3.58 eV/atom
D(E_F) = 0.00 states/eV/f.u.
spin magnetization = 0.000 μB/atom
symmetry = C2/c (15)

***

No. 17
Entry from Alexandria via LeMat-Bulk: a relaxed structure of HoHI2 (GGA-PBE).

```
8
Lattice="6.898 0.000 0.000 0.000 3.983 0.000 -2.208 0.000 8.275" Properties=species:S:1:pos:R:3 pbc="T T T"
Ho 0.000 0.000 0.000
Ho 3.449 1.991 0.000
H 1.149 1.991 0.001
H 4.598 0.000 0.001
I 0.092 0.000 6.169
I 2.299 0.000 2.106
I 3.541 1.991 6.169
I 5.749 1.991 2.106
```

density = 6131 kg/m3
E = -3.94 eV/atom
D(E_F) = 0.00 states/eV/f.u.
spin magnetization = 0.000 μB/atom
symmetry = Cm (8)

***

No. 18
Entry from Alexandria via LeMat-Bulk: a relaxed structure of HoHI2 (GGA-PBE).

```
8
Lattice="4.275 0.000 0.000 0.000 4.297 0.000 0.000 0.000 15.664" Properties=species:S:1:pos:R:3 pbc="T T T"
Ho 0.000 0.000 0.000
Ho 2.138 2.149 7.832
H 0.000 2.149 7.832
H 2.138 0.000 0.000
I 0.000 2.149 2.122
I 0.000 2.149 13.542
I 2.138 0.000 5.710
I 2.138 0.000 9.954
```

density = 4844 kg/m3
E = -3.77 eV/atom
D(E_F) = 0.00 states/eV/f.u.
spin magnetization = 0.000 μB/atom
symmetry = Immm (71)

***

No. 19
Entry from Alexandria via LeMat-Bulk: a relaxed structure of Ho2HI (GGA-PBE).

```
12
Lattice="3.725 0.000 0.000 -1.862 3.226 0.000 0.000 0.000 22.615" Properties=species:S:1:pos:R:3 pbc="T T T"
Ho 0.000 0.000 5.053
Ho 0.000 0.000 17.562
Ho 0.000 2.150 10.024
Ho 0.000 2.150 20.130
Ho 1.862 1.075 2.486
Ho 1.862 1.075 12.591
H 0.000 0.000 11.308
H 0.000 2.150 3.769
H 1.862 1.075 18.846
I 0.000 0.000 0.000
I 0.000 2.150 15.077
I 1.862 1.075 7.538
```

density = 8393 kg/m3
E = -4.02 eV/atom
D(E_F) = 1.73 states/eV/f.u.
spin magnetization = 0.000 μB/atom
symmetry = R-3m (166)

***

No. 20
Entry from Alexandria via LeMat-Bulk: a relaxed structure of Ho2H2SI (GGA-PBE).

```
6
Lattice="3.786 0.000 0.000 -1.893 3.279 0.000 0.000 0.000 8.530" Properties=species:S:1:pos:R:3 pbc="T T T"
Ho 0.000 2.186 1.699
Ho 1.893 1.093 6.832
H 0.000 2.186 6.498
H 1.893 1.093 2.032
S 0.000 0.000 0.000
I 0.000 0.000 4.265
```

density = 7696 kg/m3
E = -4.74 eV/atom
D(E_F) = 1.61 states/eV/f.u.
spin magnetization = 0.000 μB/atom
symmetry = P-3m1 (164)